Record 1
Here is a crystal of Li3Mg relaxed with PBEsol from Alexandria. Energies are from meta-GGA SCAN.

The calculation puts the formation energy from the elements at -0.006 eV/atom.

It has space group Fm-3m (No. 225), with a = 6.814 Å, b = 6.814 Å, c = 6.814 Å, α = 90.00°, β = 90.00° and γ = 90.00°. The asymmetric unit holds Li at (0.000, 0.000, 0.000), Li at (0.250, 0.250, 0.250) and Mg at (0.000, 0.000, 0.500).


Record 2
Here is a crystal of Tb4CdIr relaxed with PBEsol from Alexandria. Energies are from meta-GGA SCAN.

The calculation puts the formation energy from the elements at -0.647 eV/atom.

It has space group F-43m (No. 216), with a = 13.425 Å, b = 13.425 Å, c = 13.425 Å, α = 90.00°, β = 90.00° and γ = 90.00°. The asymmetric unit holds Tb at (0.000, 0.000, 0.189), Tb at (0.060, 0.250, 0.750), Tb at (0.100, 0.100, 0.400), Cd at (0.170, 0.170, 0.170) and Ir at (0.108, 0.108, 0.608).